1.
! Mg2Pd PBE-GGA optimized geometry; values from VASP
! Calculated volume   17.80 Å³ per atom
! DFT total energy   -74.63 eV/cell
! Theoretical density   4.82 g/cm3
&SYSTEM
  ibrav = 0, nat = 24, ntyp = 2
/
ATOMIC_SPECIES
Pd 106.42 Pd.upf
Mg 24.30 Mg.upf
CELL_PARAMETERS angstrom
5.2348 11.7339 0.0000
-5.0001 5.7654 0.0000
0.0000 0.0000 4.8091
ATOMIC_POSITIONS angstrom
Pd 2.6832 10.0830 0.0000
Pd -4.8736 5.8400 0.0000
Pd 0.3240 14.4252 0.0000
Pd 1.7629 6.0139 2.4046
Pd -0.9150 4.2886 2.4046
Pd -0.8754 7.4381 2.4046
Pd 4.5166 10.2607 2.4046
Pd -0.0695 5.8363 0.0000
Mg 2.6959 7.3745 0.0000
Mg -3.2525 5.7893 2.4046
Mg 2.7976 12.9466 0.0000
Mg -0.8742 10.2480 2.4046
Mg -0.7235 1.3533 2.4046
Mg -3.3507 8.9161 2.4046
Mg -2.5355 4.3395 0.0000
Mg 2.0925 11.4363 2.4046
Mg -2.4206 7.2667 0.0000
Mg -2.6454 10.4266 0.0000
Mg 0.3214 11.6147 0.0000
Mg 1.8677 14.5960 2.4046
Mg -0.0643 3.0102 0.0000
Mg 0.0603 8.5971 0.0000
Mg 1.7517 8.7230 2.4046
Mg -0.6129 13.2656 2.4046

2.
! Mg2Pd PBE-GGA optimized geometry; values from VASP
! Calculated volume   17.72 Å³ per atom
! DFT total energy   -38.08 eV/cell
! Theoretical density   4.84 g/cm3
&SYSTEM
  ibrav = 0, nat = 12, ntyp = 2
/
ATOMIC_SPECIES
Pd 106.42 Pd.upf
Mg 24.30 Mg.upf
CELL_PARAMETERS angstrom
-4.2692 -1.8347 -1.6394
4.2348 -7.5199 -2.6124
-0.8117 -1.9492 4.2952
ATOMIC_POSITIONS angstrom
Pd -3.1783 -3.7356 0.3707
Pd 4.1553 -7.5412 -2.6370
Pd 2.7555 -5.0553 -1.7735
Pd -1.7784 -6.2214 -0.4929
Mg -1.6400 -2.1130 -1.2688
Mg -0.4689 -4.1150 0.7105
Mg -2.8497 -4.3379 -2.5071
Mg -1.6177 -1.6438 1.6149
Mg -0.0938 -4.8586 -2.2226
Mg 1.0709 -6.4181 -0.0437
Mg 1.4459 -7.1618 -2.9769
Mg -0.4425 -8.7735 -1.3986